Record 1
# GGA-PBE Tl2CuIr, relaxed
# Fermi-level density of states = 0.492 states/eV/atom
# Raw total energy = -3.93 eV per atom
# Polymorph energy (0 for the lowest one) = 158 meV per atom
data_Tl2CuIr
_chemical_formula_sum 'Tl8 Cu4 Ir4'
_symmetry_space_group_name_H-M 'F m -3 m'
_symmetry_Int_Tables_number 225
_symmetry_space_group_name_Hall '-F 4 2 3'
_cell_length_a 6.7034
_cell_length_b 6.7034
_cell_length_c 6.7034
_cell_angle_alpha 90.00
_cell_angle_beta 90.00
_cell_angle_gamma 90.00
loop_
_atom_site_label
_atom_site_type_symbol
_atom_site_fract_x
_atom_site_fract_y
_atom_site_fract_z
Tl1 Tl 0.2500 0.2500 0.2500
Cu1 Cu 0.0000 0.0000 0.0000
Ir1 Ir 0.0000 0.0000 0.5000



Record 2
# GGA-PBE AlGe2Br, relaxed
# Formation energy without anion corrections = 0.403 eV/atom
# Fermi-level density of states = 0.722 states/eV/atom
# Raw total energy = -3.26 eV per atom
# Polymorph energy (0 for the lowest one) = 27 meV per atom
data_AlGe2Br
_chemical_formula_sum 'Al4 Ge8 Br4'
_symmetry_space_group_name_H-M 'F m -3 m'
_symmetry_Int_Tables_number 225
_symmetry_space_group_name_Hall '-F 4 2 3'
_cell_length_a 6.9592
_cell_length_b 6.9592
_cell_length_c 6.9592
_cell_angle_alpha 90.00
_cell_angle_beta 90.00
_cell_angle_gamma 90.00
loop_
_atom_site_label
_atom_site_type_symbol
_atom_site_fract_x
_atom_site_fract_y
_atom_site_fract_z
Al1 Al 0.0000 0.0000 0.0000
Ge1 Ge 0.2500 0.2500 0.2500
Br1 Br 0.0000 0.0000 0.5000



Record 3
# GGA-PBE Pr2NiH6Pd, relaxed
# Fermi-level density of states = 0.338 states/eV/atom
# Raw total energy = -4.55 eV per atom
data_Pr2NiH6Pd
_chemical_formula_sum 'Pr8 Ni4 H24 Pd4'
_symmetry_space_group_name_H-M 'F m m m'
_symmetry_Int_Tables_number 69
_symmetry_space_group_name_Hall '-F 2 2'
_cell_length_a 7.4396
_cell_length_b 7.4646
_cell_length_c 7.4838
_cell_angle_alpha 90.00
_cell_angle_beta 90.00
_cell_angle_gamma 90.00
loop_
_atom_site_label
_atom_site_type_symbol
_atom_site_fract_x
_atom_site_fract_y
_atom_site_fract_z
Pr1 Pr 0.2500 0.2500 0.2500
Ni1 Ni 0.0000 0.0000 0.0000
H1 H 0.0000 0.0000 0.2322
H2 H 0.0000 0.2327 0.0000
H3 H 0.2336 0.0000 0.0000
Pd1 Pd 0.0000 0.0000 0.5000



Record 4
# GGA-PBE Pm2Ho4Mg5, relaxed
# Fermi-level density of states = 1.063 states/eV/atom
# Raw total energy = -3.05 eV per atom
data_Pm2Ho4Mg5
_chemical_formula_sum 'Pm8 Ho16 Mg20'
_symmetry_space_group_name_H-M 'F m m m'
_symmetry_Int_Tables_number 69
_symmetry_space_group_name_Hall '-F 2 2'
_cell_length_a 6.2095
_cell_length_b 10.1715
_cell_length_c 21.9748
_cell_angle_alpha 90.00
_cell_angle_beta 90.00
_cell_angle_gamma 90.00
loop_
_atom_site_label
_atom_site_type_symbol
_atom_site_fract_x
_atom_site_fract_y
_atom_site_fract_z
Pm1 Pm 0.0000 0.0000 0.1170
Ho1 Ho 0.0000 0.1670 0.3739
Mg1 Mg 0.0000 0.0000 0.5000
Mg2 Mg 0.2500 0.2500 0.0000
Mg3 Mg 0.2500 0.2500 0.2500



Record 5
# GGA-PBE Zr2MnAg2, relaxed
# Fermi-level density of states = 0.463 states/eV/atom
# Raw total energy = -5.97 eV per atom
# Polymorph energy (0 for the lowest one) = 0 meV per atom
data_Zr2MnAg2
_chemical_formula_sum 'Zr4 Mn2 Ag4'
_symmetry_space_group_name_H-M 'P 4/m b m'
_symmetry_Int_Tables_number 127
_symmetry_space_group_name_Hall '-P 4 2ab'
_cell_length_a 6.8345
_cell_length_b 6.8345
_cell_length_c 4.3574
_cell_angle_alpha 90.00
_cell_angle_beta 90.00
_cell_angle_gamma 90.00
loop_
_atom_site_label
_atom_site_type_symbol
_atom_site_fract_x
_atom_site_fract_y
_atom_site_fract_z
Zr1 Zr 0.1636 0.3364 0.0000
Mn1 Mn 0.0000 0.0000 0.0000
Ag1 Ag 0.1443 0.6443 0.5000



Record 6
# GGA-PBE CoCuPt2, relaxed
# Fermi-level density of states = 0.838 states/eV/atom
# Raw total energy = -5.90 eV per atom
data_CoCuPt2
_chemical_formula_sum 'Co2 Cu2 Pt4'
_symmetry_space_group_name_H-M 'C 1 m 1'
_symmetry_Int_Tables_number 8
_cell_length_a 8.9509
_cell_length_b 2.7416
_cell_length_c 4.5826
_cell_angle_alpha 90.00
_cell_angle_beta 101.06
_cell_angle_gamma 90.00
loop_
_symmetry_equiv_pos_as_xyz
'x,y,z'
'x,-y,z'
'x+1/2,y+1/2,z'
'x+1/2,-y+1/2,z'
loop_
_atom_site_label
_atom_site_type_symbol
_atom_site_fract_x
_atom_site_fract_y
_atom_site_fract_z
Co1 Co 0.0000 0.0000 0.0000
Cu1 Cu 0.2527 0.0000 0.7275
Pt1 Pt 0.0015 0.5000 0.5111
Pt2 Pt 0.2458 0.5000 0.2108



Record 7
# GGA-PBE Ga2Pt2Pb, relaxed
# Fermi-level density of states = 0.748 states/eV/atom
# Raw total energy = -4.68 eV per atom
# Polymorph energy (0 for the lowest one) = 133 meV per atom
data_Ga2Pt2Pb
_chemical_formula_sum 'Ga4 Pt4 Pb2'
_symmetry_space_group_name_H-M 'P 4/m b m'
_symmetry_Int_Tables_number 127
_symmetry_space_group_name_Hall '-P 4 2ab'
_cell_length_a 7.9653
_cell_length_b 7.9653
_cell_length_c 2.8792
_cell_angle_alpha 90.00
_cell_angle_beta 90.00
_cell_angle_gamma 90.00
loop_
_atom_site_label
_atom_site_type_symbol
_atom_site_fract_x
_atom_site_fract_y
_atom_site_fract_z
Ga1 Ga 0.1355 0.3645 0.0000
Pt1 Pt 0.1549 0.6549 0.5000
Pb1 Pb 0.0000 0.0000 0.0000



Record 8
# GGA-PBE Li4EuZn, relaxed
# Fermi-level density of states = 2.141 states/eV/atom
# Raw total energy = -3.18 eV per atom
data_Li4EuZn
_chemical_formula_sum 'Li16 Eu4 Zn4'
_symmetry_space_group_name_H-M 'F -4 3 m'
_symmetry_Int_Tables_number 216
_symmetry_space_group_name_Hall 'F -4 2 3'
_cell_length_a 7.9606
_cell_length_b 7.9606
_cell_length_c 7.9606
_cell_angle_alpha 90.00
_cell_angle_beta 90.00
_cell_angle_gamma 90.00
loop_
_atom_site_label
_atom_site_type_symbol
_atom_site_fract_x
_atom_site_fract_y
_atom_site_fract_z
Li1 Li 0.1225 0.1225 0.1225
Eu1 Eu 0.0000 0.0000 0.5000
Zn1 Zn 0.2500 0.2500 0.7500



Record 9
# GGA-PBE BaMg2Al, relaxed
# Fermi-level density of states = 0.994 states/eV/atom
# Raw total energy = -1.97 eV per atom
data_BaMg2Al
_chemical_formula_sum 'Ba3 Mg6 Al3'
_symmetry_space_group_name_H-M 'R -3 m'
_symmetry_Int_Tables_number 166
_symmetry_space_group_name_Hall '-R 3 2"'
_cell_length_a 3.4438
_cell_length_b 3.4438
_cell_length_c 32.9722
_cell_angle_alpha 90.00
_cell_angle_beta 90.00
_cell_angle_gamma 120.00
loop_
_atom_site_label
_atom_site_type_symbol
_atom_site_fract_x
_atom_site_fract_y
_atom_site_fract_z
Ba1 Ba 0.0000 0.0000 0.0000
Mg1 Mg 0.0000 0.0000 0.2352
Al1 Al 0.0000 0.0000 0.5000



Record 10
# GGA-PBE TmP2Ir5, relaxed
# Fermi-level density of states = 0.464 states/eV/atom
# Raw total energy = -8.10 eV per atom
data_TmP2Ir5
_chemical_formula_sum 'Tm2 P4 Ir10'
_symmetry_space_group_name_H-M 'I m m m'
_symmetry_Int_Tables_number 71
_symmetry_space_group_name_Hall '-I 2 2'
_cell_length_a 3.9026
_cell_length_b 6.8440
_cell_length_c 9.3792
_cell_angle_alpha 90.00
_cell_angle_beta 90.00
_cell_angle_gamma 90.00
loop_
_atom_site_label
_atom_site_type_symbol
_atom_site_fract_x
_atom_site_fract_y
_atom_site_fract_z
Tm1 Tm 0.0000 0.0000 0.0000
P1 P 0.0000 0.5000 0.2480
Ir1 Ir 0.0000 0.2070 0.3540
Ir2 Ir 0.0000 0.5000 0.0000



Record 11
# GGA-PBE PmB4Ir2Os, relaxed
# Fermi-level density of states = 0.316 states/eV/atom
# Raw total energy = -7.65 eV per atom
data_PmB4Ir2Os
_chemical_formula_sum 'Pm3 B12 Ir6 Os3'
_symmetry_space_group_name_H-M 'R -3 m'
_symmetry_Int_Tables_number 166
_symmetry_space_group_name_Hall '-R 3 2"'
_cell_length_a 3.7034
_cell_length_b 3.7034
_cell_length_c 25.0992
_cell_angle_alpha 90.00
_cell_angle_beta 90.00
_cell_angle_gamma 120.00
loop_
_atom_site_label
_atom_site_type_symbol
_atom_site_fract_x
_atom_site_fract_y
_atom_site_fract_z
Pm1 Pm 0.0000 0.0000 0.0000
B1 B 0.0000 0.0000 0.1280
B2 B 0.0000 0.0000 0.4079
Ir1 Ir 0.0000 0.0000 0.2384
Os1 Os 0.0000 0.0000 0.5000



Record 12
# GGA-PBE PSeIO2, relaxed
# Formation energy without anion corrections = 0.342 eV/atom
# Fermi-level density of states = 0.856 states/eV/atom
# Raw total energy = -3.73 eV per atom
# Polymorph energy (0 for the lowest one) = 321 meV per atom
data_PSeIO2
_chemical_formula_sum 'P1 Se1 I1 O2'
_symmetry_space_group_name_H-M 'P 4/m m m'
_symmetry_Int_Tables_number 123
_symmetry_space_group_name_Hall '-P 4 2'
_cell_length_a 3.8408
_cell_length_b 3.8408
_cell_length_c 8.1285
_cell_angle_alpha 90.00
_cell_angle_beta 90.00
_cell_angle_gamma 90.00
loop_
_atom_site_label
_atom_site_type_symbol
_atom_site_fract_x
_atom_site_fract_y
_atom_site_fract_z
P1 P 0.0000 0.0000 0.0000
Se1 Se 0.5000 0.5000 0.5000
I1 I 0.5000 0.5000 0.0000
O1 O 0.0000 0.5000 0.5000